# Be2Zn2Pd

An optimized crystal structure of Be2Zn2Pd (PBE, Alexandria).

abc: 6.2906 6.2906 3.0009
angles: 90.00 90.00 90.00
Fractional positions:
1 Be 0.1290 0.3710 0.0000
2 Be 0.3710 0.8710 0.0000
3 Be 0.6290 0.1290 0.0000
4 Be 0.8710 0.6290 0.0000
5 Zn 0.1642 0.6642 0.5000
6 Zn 0.3358 0.1642 0.5000
7 Zn 0.6642 0.8358 0.5000
8 Zn 0.8358 0.3358 0.5000
9 Pd 0.0000 0.0000 0.0000
10 Pd 0.5000 0.5000 0.0000

Results
Its total moment is 0.00 μB/cell. As for the relative energy among the computed polymorphs: 0.0 meV per atom. As for the space group: No. 127. The calculated density comes out at 7.14 g cm⁻³.

***

# CeGd2P

An optimized crystal structure of CeGd2P (PBE, Alexandria).

abc: 3.7981 3.7981 28.6297
angles: 90.00 90.00 120.00
Fractional positions:
1 Ce 0.0000 0.0000 0.0000
2 Ce 0.3333 0.6667 0.6667
3 Ce 0.6667 0.3333 0.3333
4 Gd 0.0000 0.0000 0.2259
5 Gd 0.0000 0.0000 0.7741
6 Gd 0.3333 0.6667 0.4408
7 Gd 0.3333 0.6667 0.8926
8 Gd 0.6667 0.3333 0.1074
9 Gd 0.6667 0.3333 0.5592
10 P 0.0000 0.0000 0.5000
11 P 0.3333 0.6667 0.1667
12 P 0.6667 0.3333 0.8333

Results
Its total moment is 49.24 μB/cell. For the total energy, the calculation gives -10.481 eV/atom. As for the space group: No. 166. The calculated density comes out at 6.76 g cm⁻³.